BaCo2As after structural relaxation. Source: Alexandria, functional PBE.

abc: 4.1010 4.1010 16.8454
angles: 90.00 90.00 120.00
Closest atoms and distances in Å follow each position.
Space group R-3m (No. 166, hexagonal axes)
Asymmetric unit:
Ba  0.0000  0.0000  0.0000 [3 per cell]  8 Co 3.14-3.43
Co  0.0000  0.0000  0.1863 [6 per cell]  3 As 2.39, 3 Co 2.46
As  0.0000  0.0000  0.5000 [3 per cell]  6 Co 2.39

**Crystal system**: trigonal
**Energy relative to the elements**: -221 meV/atom
**Volume**: 245.32 Å³ per cell
**Uncorrected energy**: -65.003 eV for the cell shown